(a)
VASP calculation (PBEsol) on a relaxed K2TaFe crystal. Values from VASP.

Volume, Å³ per atom: 30.2
SG: No. 225
M_tot, μB/f.u.: 6.80
ρ, g/cm3: 4.33

Geometry as Quantum ESPRESSO input:
```
&SYSTEM
  ibrav = 0, nat = 4, ntyp = 3
/
ATOMIC_SPECIES
Fe 55.84 Fe.upf
K 39.10 K.upf
Ta 180.95 Ta.upf
CELL_PARAMETERS angstrom
-5.303 -0.816 -1.419
-2.710 -4.477 1.848
-4.006 0.554 3.800
ATOMIC_POSITIONS angstrom
Fe 0.000 0.000 0.000
K -3.005 -1.185 1.057
K -9.014 -3.554 3.172
Ta -6.009 -2.369 2.115
```

***

(b)
VASP calculation (PBEsol) on a relaxed K2TaFe crystal. Values from VASP.

Volume, Å³ per atom: 21.2
SG: No. 47
M_tot, μB/f.u.: 0.95
ρ, g/cm3: 6.17

Geometry as Quantum ESPRESSO input:
```
&SYSTEM
  ibrav = 0, nat = 4, ntyp = 3
/
ATOMIC_SPECIES
Fe 55.84 Fe.upf
K 39.10 K.upf
Ta 180.95 Ta.upf
CELL_PARAMETERS angstrom
3.083 0.000 0.000
0.000 4.496 0.000
0.000 0.000 6.112
ATOMIC_POSITIONS angstrom
Fe 0.000 2.248 3.056
K 0.000 0.000 0.000
K 1.542 2.248 0.000
Ta 1.542 0.000 3.056
```

***

Stability ranking, top and bottom: (b) is the most stable and (a) is the least stable.